1.
CaGa3Pt after structural relaxation. Source: the Alexandria database, functional PBE.

Summary:
- Size of the total moment: 0.000 μB per atom
- Formation energy: -0.304 eV per atom
- Uncorrected energy: -3.73 eV per atom
- N(E_F): 4.7 states/eV/f.u.

a = 4.8827 Å, b = 4.8827 Å, c = 4.8827 Å
α = 90.00°, β = 90.00°, γ = 90.00°
Last column: nearest neighbours and their distance in Å.
Fractional coordinates of all 5 atoms:
Ga1 0.0000 0.0000 0.5000  2 Pt 2.44
Ga2 0.0000 0.5000 0.0000  2 Pt 2.44
Ga3 0.5000 0.0000 0.0000  2 Pt 2.44
Ca1 0.5000 0.5000 0.5000  12 Ga 3.45
Pt1 0.0000 0.0000 0.0000  6 Ga 2.44

2.
BaNpC2O8 after structural relaxation. Source: the Alexandria database, functional PBE.

Summary:
- Size of the total moment: 0.083 μB per atom
- Uncorrected energy: -8.00 eV per atom
- E_form (uncorrected): -1.914 eV/atom
- N(E_F): 4.1 states/eV/f.u.

a = 4.8468 Å, b = 4.8468 Å, c = 8.2999 Å
α = 73.02°, β = 73.02°, γ = 60.00°
Last column: nearest neighbours and their distance in Å.
Fractional coordinates of all 12 atoms:
O1 0.7298 0.5303 0.6695  1 C 1.43
O2 0.5303 0.0703 0.6695  1 C 1.43
O3 0.2702 0.9297 0.3305  1 C 1.43
O4 0.3020 0.3020 0.0939  1 C 1.31
O5 0.4697 0.2702 0.3305  1 C 1.43
O6 0.6980 0.6980 0.9061  1 C 1.31
O7 0.9297 0.4697 0.3305  1 C 1.43
O8 0.0703 0.7298 0.6695  1 C 1.43
C1 0.2460 0.2460 0.2619  4 O 1.31-1.43
C2 0.7540 0.7540 0.7381  4 O 1.31-1.43
Ba1 0.0000 0.0000 0.0000  12 O 2.89-3.23
Np1 0.5000 0.5000 0.5000  6 O 2.11

3.
CoTc2S after structural relaxation. Source: the Alexandria database, functional PBE.

Summary:
- Size of the total moment: 0.000 μB per atom
- Uncorrected energy: -7.42 eV per atom
- E_form (uncorrected): 0.569 eV/atom
- N(E_F): 5.0 states/eV/f.u.

a = 5.2816 Å, b = 5.2816 Å, c = 6.3049 Å
α = 65.24°, β = 65.24°, γ = 90.00°
Last column: nearest neighbours and their distance in Å.
Fractional coordinates of all 8 atoms:
Tc1 0.8750 0.8764 0.7500  2 Co 2.25, 2 S 2.26
Tc2 0.1236 0.6250 0.2500  2 Co 2.25, 2 S 2.26
Tc3 0.3750 0.3736 0.7500  2 Co 2.25, 2 S 2.26
Tc4 0.6264 0.1250 0.2500  2 Co 2.25, 2 S 2.26
Co1 0.0000 0.0000 0.0000  4 Tc 2.25
Co2 0.7500 0.2500 0.5000  4 Tc 2.25
S1 0.5000 0.5000 0.0000  4 Tc 2.26
S2 0.2500 0.7500 0.5000  4 Tc 2.26

4.
Cu8HgS5 after structural relaxation. Source: the Alexandria database, functional PBE.

Summary:
- Size of the total moment: 0.000 μB per atom
- Uncorrected energy: -3.83 eV per atom
- E_form (uncorrected): 0.006 eV/atom
- N(E_F): 8.6 states/eV/f.u.

a = 7.0944 Å, b = 7.0944 Å, c = 7.0944 Å
α = 60.00°, β = 60.00°, γ = 60.00°
Last column: nearest neighbours and their distance in Å.
Fractional coordinates of all 14 atoms:
Cu1 0.4062 0.4062 0.7813  3 S 2.33
Cu2 0.4062 0.4062 0.4062  3 S 2.33
Cu3 0.8706 0.8706 0.3881  4 S 2.25-2.39
Cu4 0.4062 0.7813 0.4062  3 S 2.33
Cu5 0.8706 0.8706 0.8706  4 S 2.25-2.39
Cu6 0.7813 0.4062 0.4062  3 S 2.33
Cu7 0.3881 0.8706 0.8706  4 S 2.25-2.39
Cu8 0.8706 0.3881 0.8706  4 S 2.25-2.39
S1 0.6323 0.6323 0.6323  6 Cu 2.33-2.39
S2 0.6323 0.1030 0.6323  6 Cu 2.33-2.39
S3 0.0000 0.0000 0.0000  4 Cu 2.25
S4 0.1030 0.6323 0.6323  6 Cu 2.33-2.39
S5 0.6323 0.6323 0.1030  6 Cu 2.33-2.39
Hg1 0.2500 0.2500 0.2500  4 Cu 2.71

What is the size of the total moment in the fourth record?
0.000 μB per atom

uncorrected energy of number 1 (CaGa3Pt)?
-3.73 eV per atom